{"formula": "Co15As", "functional": "GGA-PBE", "state": "relaxed", "de_polymorph_ev_per_atom": 0.018, "cell": [[-0.381, -4.190, 0.831], [31.997, -4.567, -8.343], [1.222, 2.084, 3.544]], "species": ["As", "As", "Co", "Co", "Co", "Co", "Co", "Co", "Co", "Co", "Co", "Co", "Co", "Co", "Co", "Co", "Co", "Co", "Co", "Co", "Co", "Co", "Co", "Co", "Co", "Co", "Co", "Co", "Co", "Co", "Co", "Co"], "fractional_positions": [[0.000, 0.221, 0.000], [0.000, 0.779, 0.500], [0.500, 0.259, 0.000], [0.000, 0.297, 0.000], [0.500, 0.333, 0.000], [0.000, 0.370, 0.000], [0.500, 0.407, 0.000], [0.000, 0.444, 0.000], [0.500, 0.481, 0.000], [0.000, 0.518, 0.000], [0.500, 0.555, 0.000], [0.000, 0.593, 0.000], [0.500, 0.629, 0.000], [0.000, 0.667, 0.000], [0.500, 0.703, 0.000], [0.000, 0.741, 0.000], [0.500, 0.775, 0.000], [0.500, 0.225, 0.500], [0.000, 0.259, 0.500], [0.500, 0.297, 0.500], [0.000, 0.333, 0.500], [0.500, 0.371, 0.500], [0.000, 0.407, 0.500], [0.500, 0.445, 0.500], [0.000, 0.481, 0.500], [0.500, 0.519, 0.500], [0.000, 0.556, 0.500], [0.500, 0.593, 0.500], [0.000, 0.630, 0.500], [0.500, 0.667, 0.500], [0.000, 0.703, 0.500], [0.500, 0.741, 0.500]]}